Entry 1:
This record from Alexandria describes Fe2PbBr8 after structural relaxation. The functional is PBE.

Formation energy from raw total energies (eV per atom): -0.60
V (Å³ per cell): 906

Unit cell a=13.4836 b=9.9441 c=6.8283 alpha=90.00 beta=98.38 gamma=90.00
Last column: nearest neighbours and their distance in Å.
Space group C2/m (No. 12)
Unique sites:
Fe (0.1967, 0.0000, 0.1496) (multiplicity 4)  4 Br 2.30-2.39
Pb (0.0000, 0.0000, 0.5000) (multiplicity 2)  6 Br 3.05-3.07
Br (0.1095, 0.1905, 0.2543) (multiplicity 8)  1 Fe 2.39
Br (0.1374, 0.5000, 0.7109) (multiplicity 4)  1 Fe 2.30
Br (0.1930, 0.0000, 0.7999) (multiplicity 4)  1 Fe 2.38



Entry 2:
This record from Alexandria describes Fe2PbBr7 after structural relaxation. The functional is PBE.

Formation energy from raw total energies (eV per atom): -0.41
V (Å³ per cell): 826

Unit cell a=11.3002 b=14.1679 c=5.1609 alpha=90.00 beta=90.00 gamma=90.00
Last column: nearest neighbours and their distance in Å.
Space group Cmmm (No. 65)
Unique sites:
Fe (0.2187, 0.0000, 0.0000) (multiplicity 4)  5 Br 2.40-2.58
Pb (0.0000, 0.5000, 0.5000) (multiplicity 2)  2 Br 3.16
Br (0.0000, 0.0000, 0.0000) (multiplicity 2)  2 Fe 2.47
Br (0.1501, 0.3663, 0.0000) (multiplicity 8)  1 Fe 2.40
Br (0.2206, 0.0000, 0.5000) (multiplicity 4)  2 Fe 2.58



Entry 3:
This record from Alexandria describes FePbBr5 after structural relaxation. The functional is PBE.

Formation energy from raw total energies (eV per atom): -0.63
V (Å³ per cell): 566

Unit cell a=7.6945 b=7.7011 c=10.9207 alpha=108.61 beta=109.54 gamma=94.12
Last column: nearest neighbours and their distance in Å.
Space group P-1 (No. 2)
Unique sites:
Fe (0.1569, 0.4064, 0.2501) (multiplicity 2)  4 Br 2.36
Pb (0.0000, 0.0000, 0.5000) (multiplicity 1)  6 Br 2.95-3.12
Pb (0.5000, 0.0000, 0.0000) (multiplicity 1)  6 Br 2.95-3.12
Br (0.1261, 0.7461, 0.9442) (multiplicity 2)  1 Fe 2.36
Br (0.1828, 0.7341, 0.3228) (multiplicity 2)  1 Fe 2.36
Br (0.1988, 0.3176, 0.4444) (multiplicity 2)  1 Fe 2.36
Br (0.3485, 0.0980, 0.7503) (multiplicity 2)  2 Pb 2.95
Br (0.4119, 0.3605, 0.1771) (multiplicity 2)  1 Fe 2.36



Entry 4:
This record from Alexandria describes Fe3PbBr9 after structural relaxation. The functional is PBE.

Formation energy from raw total energies (eV per atom): -0.53
V (Å³ per cell): 1925

Unit cell a=19.1617 b=9.6105 c=13.8409 alpha=90.00 beta=130.94 gamma=90.00
Last column: nearest neighbours and their distance in Å.
Space group Cc (No. 9)
Unique sites:
Fe (0.0000, 0.0821, 0.0000) (multiplicity 4)  4 Br 2.37-2.46
Fe (0.2905, 0.3898, 0.6610) (multiplicity 4)  4 Br 2.38-2.45
Fe (0.3748, 0.0881, 0.5386) (multiplicity 4)  4 Br 2.37-2.47
Pb (0.1396, 0.2727, 0.8256) (multiplicity 4)  6 Br 2.99-3.17
Br (0.0167, 0.4588, 0.2464) (multiplicity 4)  1 Fe 2.37
Br (0.0489, 0.0154, 0.2013) (multiplicity 4)  1 Fe 2.37
Br (0.1251, 0.1802, 0.0246) (multiplicity 4)  1 Fe 2.38
Br (0.1659, 0.4258, 0.6572) (multiplicity 4)  1 Fe 2.38
Br (0.2606, 0.1671, 0.5537) (multiplicity 4)  2 Fe 2.45
Br (0.3007, 0.4302, 0.0518) (multiplicity 4)  1 Fe 2.39
Br (0.3091, 0.1142, 0.9062) (multiplicity 4)  1 Fe 2.39
Br (0.3722, 0.2543, 0.4000) (multiplicity 4)  2 Fe 2.44-2.47
Br (0.4457, 0.3692, 0.8702) (multiplicity 4)  2 Fe 2.45-2.46



Entry 5:
This record from Alexandria describes FePbBr after structural relaxation. The functional is PBE.

Formation energy from raw total energies (eV per atom): 0.21
V (Å³ per cell): 307
ΔE to the lowest computed polymorph (meV/atom): 114

Unit cell a=4.1841 b=5.0745 c=14.4728 alpha=90.00 beta=90.00 gamma=90.00
Last column: nearest neighbours and their distance in Å.
Space group Fmm2 (No. 42)
Unique sites:
Fe (0.0000, 0.0000, 0.0000) (multiplicity 4)  2 Br 2.55
Pb (0.0000, 0.0000, 0.6468) (multiplicity 4)  4 Fe 2.98-3.31, 4 Pb 3.29
Br (0.0000, 0.0000, 0.3990) (multiplicity 4)  2 Fe 2.55



Entry 6:
This record from Alexandria describes Fe3PbBr after structural relaxation. The functional is PBE.

Formation energy from raw total energies (eV per atom): 1.07
V (Å³ per cell): 93
ΔE to the lowest computed polymorph (meV/atom): 0

Unit cell a=4.5305 b=4.5305 c=4.5305 alpha=90.00 beta=90.00 gamma=90.00
Last column: nearest neighbours and their distance in Å.
Space group Pm-3m (No. 221)
Unique sites:
Fe (0.0000, 0.0000, 0.5000) (multiplicity 3)  2 Br 2.27
Pb (0.5000, 0.5000, 0.5000) (multiplicity 1)  12 Fe 3.20
Br (0.0000, 0.0000, 0.0000) (multiplicity 1)  6 Fe 2.27



Entry 7:
This record from Alexandria describes FePbBr after structural relaxation. The functional is PBE.

Formation energy from raw total energies (eV per atom): 0.53
V (Å³ per cell): 306
ΔE to the lowest computed polymorph (meV/atom): 428

Unit cell a=6.7362 b=6.7362 c=6.7362 alpha=90.00 beta=90.00 gamma=90.00
Last column: nearest neighbours and their distance in Å.
Space group F-43m (No. 216)
Unique sites:
Fe (0.0000, 0.0000, 0.0000) (multiplicity 4)  4 Br 2.92, 4 Pb 2.92
Pb (0.2500, 0.2500, 0.2500) (multiplicity 4)  4 Fe 2.92
Br (0.2500, 0.2500, 0.7500) (multiplicity 4)  4 Fe 2.92



Entry 8:
This record from Alexandria describes Fe3PbBr after structural relaxation. The functional is PBE.

Formation energy from raw total energies (eV per atom): 1.47
V (Å³ per cell): 135
ΔE to the lowest computed polymorph (meV/atom): 398

Unit cell a=5.1339 b=5.1339 c=5.1339 alpha=90.00 beta=90.00 gamma=90.00
Last column: nearest neighbours and their distance in Å.
Space group Pm-3m (No. 221)
Unique sites:
Fe (0.0000, 0.0000, 0.5000) (multiplicity 3)  2 Pb 2.57
Pb (0.0000, 0.0000, 0.0000) (multiplicity 1)  6 Fe 2.57
Br (0.5000, 0.5000, 0.5000) (multiplicity 1)  12 Fe 3.63



Entry 9:
This record from Alexandria describes FePbBr after structural relaxation. The functional is PBE.

Formation energy from raw total energies (eV per atom): 0.10
V (Å³ per cell): 79
ΔE to the lowest computed polymorph (meV/atom): 0

Unit cell a=3.4605 b=3.4605 c=7.6594 alpha=90.00 beta=90.00 gamma=120.00
Last column: nearest neighbours and their distance in Å.
Space group P3m1 (No. 156)
Unique sites:
Fe (0.0000, 0.0000, 0.0000) (multiplicity 1)  3 Br 2.52
Pb (0.6667, 0.3333, 0.7116) (multiplicity 1)  3 Fe 2.98
Br (0.3333, 0.6667, 0.2007) (multiplicity 1)  3 Fe 2.52



Entry 10:
This record from Alexandria describes FePtPb2Br after structural relaxation. The functional is PBE.

Formation energy from raw total energies (eV per atom): 0.96
V (Å³ per cell): 141

Unit cell a=5.7260 b=5.7260 c=4.2892 alpha=90.00 beta=90.00 gamma=90.00
Last column: nearest neighbours and their distance in Å.
Space group P4/mmm (No. 123)
Unique sites:
Fe (0.0000, 0.0000, 0.0000) (multiplicity 1)  2 Br 2.14
Pt (0.5000, 0.5000, 0.0000) (multiplicity 1)  8 Pb 3.58
Pb (0.0000, 0.5000, 0.5000) (multiplicity 2)  2 Br 2.86
Br (0.0000, 0.0000, 0.5000) (multiplicity 1)  2 Fe 2.14



Entry 11:
This record from Alexandria describes RbFePbBr5 after structural relaxation. The functional is PBE.

Formation energy from raw total energies (eV per atom): -0.93
V (Å³ per cell): 1251

Unit cell a=9.7787 b=13.0597 c=10.7282 alpha=90.00 beta=114.02 gamma=90.00
Last column: nearest neighbours and their distance in Å.
Space group C2/c (No. 15)
Unique sites:
Rb (0.0000, 0.1475, 0.2500) (multiplicity 4)  5 Br 3.36-3.51
Fe (0.0000, 0.1847, 0.7500) (multiplicity 4)  4 Br 2.45-2.46
Pb (0.0000, 0.5000, 0.0000) (multiplicity 4)  6 Br 2.96-3.13
Br (0.0000, 0.4048, 0.2500) (multiplicity 4)  2 Pb 2.96
Br (0.1195, 0.2890, 0.6331) (multiplicity 8)  1 Fe 2.45
Br (0.1725, 0.0737, 0.9301) (multiplicity 8)  1 Fe 2.46



Entry 12:
This record from Alexandria describes FeRhPbBr2 after structural relaxation. The functional is PBE.

Formation energy from raw total energies (eV per atom): 0.37
V (Å³ per cell): 116

Unit cell a=4.8446 b=4.8446 c=4.9293 alpha=90.00 beta=90.00 gamma=90.00
Last column: nearest neighbours and their distance in Å.
Space group P4/mmm (No. 123)
Unique sites:
Fe (0.0000, 0.0000, 0.0000) (multiplicity 1)  4 Br 2.42, 2 Rh 2.46
Rh (0.0000, 0.0000, 0.5000) (multiplicity 1)  2 Fe 2.46
Pb (0.5000, 0.5000, 0.5000) (multiplicity 1)  4 Rh 3.43, 8 Br 3.46
Br (0.0000, 0.5000, 0.0000) (multiplicity 2)  2 Fe 2.42